A plane-wave DFT calculation with GGA-PBE was carried out for a geometry-optimized Pm6YEr2Th structure.

Calculated values
**Formation enthalpy at 0 K**: 0.142 eV/atom
**Calculated density**: 7.538 g/cm³

abc: 9.654 8.851 8.851
angles: 116.39 93.81 93.81
Fractional positions:
Th: 0.750 0.032 0.968
Th: 0.250 0.968 0.032
Pm: 0.058 0.110 0.762
Pm: 0.619 0.484 0.704
Pm: 0.942 0.890 0.238
Pm: 0.185 0.572 0.012
Pm: 0.381 0.516 0.296
Pm: 0.881 0.296 0.516
Pm: 0.815 0.428 0.988
Pm: 0.315 0.988 0.428
Pm: 0.442 0.238 0.890
Pm: 0.119 0.704 0.484
Pm: 0.558 0.762 0.110
Pm: 0.685 0.012 0.572
Er: 0.551 0.202 0.294
Er: 0.051 0.294 0.202
Er: 0.949 0.706 0.798
Er: 0.449 0.798 0.706
Y: 0.750 0.592 0.408
Y: 0.250 0.408 0.592

=====

A plane-wave DFT calculation with GGA-PBE was carried out for a geometry-optimized HoErAg structure.

Calculated values
**Formation enthalpy at 0 K**: 0.035 eV/atom
**Calculated density**: 8.327 g/cm³
**Energy above the most stable polymorph in this dataset**: 0.726 eV per formula unit

abc: 4.996 4.996 8.616
angles: 73.15 73.15 60.00
Fractional positions:
Ag: 0.250 0.250 0.249
Ag: 0.750 0.750 0.751
Ho: 0.125 0.125 0.626
Ho: 0.875 0.875 0.374
Er: 0.625 0.625 0.125
Er: 0.375 0.375 0.875

=====

A plane-wave DFT calculation with GGA-PBE was carried out for a geometry-optimized Ba2I2O structure.

Calculated values
**Energy relative to the elements, uncorrected**: -2.173 eV per atom
**Calculated density**: 4.782 g/cm³
**Energy above the most stable polymorph in this dataset**: 0.000 eV per formula unit

abc: 8.745 8.745 8.745
angles: 133.44 127.16 73.05
Fractional positions:
Ba: 0.583 0.908 0.675
Ba: 0.417 0.092 0.325
Ba: 0.233 0.408 0.825
Ba: 0.767 0.592 0.175
I: 0.996 0.149 0.847
I: 0.302 0.649 0.653
I: 0.004 0.851 0.153
I: 0.698 0.351 0.347
O: 0.500 0.250 0.750
O: 0.500 0.750 0.250

=====

A plane-wave DFT calculation with GGA-PBE was carried out for a geometry-optimized TiAsI2N structure.

Calculated values
**Energy relative to the elements, uncorrected**: 0.216 eV per atom
**Calculated density**: 5.344 g/cm³
**Energy above the most stable polymorph in this dataset**: 0.000 eV per formula unit

abc: 5.703 5.703 3.731
angles: 90.00 90.00 90.00
Fractional positions:
N: 0.000 0.000 0.500
I: 0.500 0.000 0.000
I: 0.000 0.500 0.000
As: 0.500 0.500 0.500
Ti: 0.000 0.000 0.000

=====

A plane-wave DFT calculation with GGA-PBE was carried out for a geometry-optimized CeCo2Ru structure.

Calculated values
**Formation enthalpy at 0 K**: 0.000 eV/atom
**Calculated density**: 9.953 g/cm³

abc: 3.833 3.953 3.953
angles: 90.00 90.00 90.00
Last column: magnetic moment on the atom in μB.
Fractional positions:
Co: 0.000 0.000 0.500  0.87
Co: 0.000 0.500 0.000  0.87
Ce: 0.500 0.500 0.500  -0.28
Ru: 0.500 0.000 0.000  0.27

=====

A plane-wave DFT calculation with GGA-PBE was carried out for a geometry-optimized AlFe2Te structure.

Calculated values
**Energy relative to the elements, uncorrected**: 0.199 eV per atom
**Calculated density**: 8.038 g/cm³
**Energy above the most stable polymorph in this dataset**: 0.296 eV per formula unit

abc: 4.176 4.176 3.154
angles: 90.02 90.02 90.03
Last column: magnetic moment on the atom in μB.
Fractional positions:
Te: 0.500 0.000 0.500  -0.01
Al: 0.000 0.500 0.500  -0.02
Fe: 0.500 0.500 0.000  0.48
Fe: 0.000 0.000 0.000  0.48

=====

A plane-wave DFT calculation with GGA-PBE was carried out for a geometry-optimized TbNdSmMg structure.

Calculated values
**Formation enthalpy at 0 K**: 0.035 eV/atom
**Calculated density**: 6.388 g/cm³
**Energy above the most stable polymorph in this dataset**: 0.272 eV per formula unit

abc: 5.601 5.601 5.601
angles: 60.00 60.00 60.00
Fractional positions:
Mg: 0.750 0.750 0.750
Tb: 0.250 0.250 0.250
Sm: 0.500 0.500 0.500
Nd: 0.000 0.000 0.000

=====

A plane-wave DFT calculation with GGA-PBE was carried out for a geometry-optimized LiScCu structure.

Calculated values
**Formation enthalpy at 0 K**: -0.065 eV/atom
**Calculated density**: 3.697 g/cm³
**Energy above the most stable polymorph in this dataset**: 0.000 eV per formula unit

abc: 3.679 6.945 12.184
angles: 92.30 90.00 90.00
Fractional positions:
Li: 0.750 0.126 0.539
Li: 0.250 0.007 0.082
Li: 0.250 0.874 0.461
Li: 0.250 0.382 0.204
Li: 0.750 0.993 0.918
Li: 0.750 0.618 0.796
Cu: 0.750 0.737 0.588
Cu: 0.750 0.264 0.078
Cu: 0.250 0.764 0.252
Cu: 0.750 0.236 0.748
Cu: 0.250 0.736 0.922
Cu: 0.250 0.263 0.412
Sc: 0.250 0.449 0.622
Sc: 0.250 0.343 0.912
Sc: 0.750 0.060 0.283
Sc: 0.750 0.551 0.378
Sc: 0.250 0.940 0.717
Sc: 0.750 0.657 0.088

=====

A plane-wave DFT calculation with GGA-PBE was carried out for a geometry-optimized YMg3Ge structure.

Calculated values
**Formation enthalpy at 0 K**: 1.312 eV/atom
**Calculated density**: 2.020 g/cm³
**Energy above the most stable polymorph in this dataset**: 5.434 eV per formula unit

abc: 5.777 5.777 5.777
angles: 90.00 90.00 90.00
Fractional positions:
Mg: 0.000 0.000 0.500
Mg: 0.500 0.000 0.000
Mg: 0.000 0.500 0.000
Y: 0.000 0.000 0.000
Ge: 0.500 0.500 0.500

=====

A plane-wave DFT calculation with GGA-PBE was carried out for a geometry-optimized CrBOs3 structure.

Calculated values
**Formation enthalpy at 0 K**: 0.373 eV/atom
**Calculated density**: 16.042 g/cm³
**Energy above the most stable polymorph in this dataset**: 0.000 eV per formula unit

abc: 4.033 4.033 4.033
angles: 90.00 90.00 90.00
Fractional positions:
Os: 0.000 0.000 0.500
Os: 0.000 0.500 0.000
Os: 0.500 0.000 0.000
Cr: 0.500 0.500 0.500
B: 0.000 0.000 0.000

=====

A plane-wave DFT calculation with GGA-PBE was carried out for a geometry-optimized MoAsIr3 structure.

Calculated values
**Formation enthalpy at 0 K**: 1.683 eV/atom
**Calculated density**: 11.763 g/cm³
**Energy above the most stable polymorph in this dataset**: 1.822 eV per formula unit

abc: 4.726 4.726 4.726
angles: 90.00 90.00 90.00
Fractional positions:
Ir: 0.000 0.500 0.000
Ir: 0.000 0.000 0.500
Ir: 0.500 0.000 0.000
As: 0.500 0.500 0.500
Mo: 0.000 0.000 0.000

=====

A plane-wave DFT calculation with GGA-PBE was carried out for a geometry-optimized Li2Tl2Pb structure.

Calculated values
**Formation enthalpy at 0 K**: -0.049 eV/atom
**Calculated density**: 8.288 g/cm³
**Energy above the most stable polymorph in this dataset**: 0.529 eV per formula unit

abc: 4.264 4.264 7.566
angles: 73.63 73.63 90.00
Fractional positions:
Tl: 0.610 0.610 0.781
Tl: 0.390 0.390 0.219
Pb: 0.000 0.000 0.000
Li: 0.250 0.750 0.500
Li: 0.750 0.250 0.500

=====

A plane-wave DFT calculation with GGA-PBE was carried out for a geometry-optimized BaSr2In structure.

Calculated values
**Formation enthalpy at 0 K**: -0.108 eV/atom
**Calculated density**: 4.296 g/cm³
**Energy above the most stable polymorph in this dataset**: 0.450 eV per formula unit

abc: 6.159 6.159 6.159
angles: 60.00 60.00 60.00
Fractional positions:
In: 0.000 0.000 0.000
Sr: 0.250 0.250 0.250
Sr: 0.750 0.750 0.750
Ba: 0.500 0.500 0.500

=====

A plane-wave DFT calculation with GGA-PBE was carried out for a geometry-optimized PmNd4Sm2Er2 structure.

Calculated values
**Formation enthalpy at 0 K**: 0.018 eV/atom
**Calculated density**: 7.424 g/cm³

abc: 5.132 8.120 8.096
angles: 107.52 90.00 108.42
Fractional positions:
Pm: 0.000 0.000 0.000
Nd: 0.555 0.109 0.331
Nd: 0.222 0.445 0.330
Nd: 0.778 0.555 0.670
Nd: 0.445 0.891 0.669
Er: 0.668 0.336 0.999
Er: 0.332 0.664 0.001
Sm: 0.888 0.777 0.331
Sm: 0.112 0.223 0.669

=====

A plane-wave DFT calculation with GGA-PBE was carried out for a geometry-optimized CuTcSbTe2 structure.

Calculated values
**Energy relative to the elements, uncorrected**: 1.038 eV per atom
**Calculated density**: 6.758 g/cm³
**Energy above the most stable polymorph in this dataset**: 1.277 eV per formula unit

abc: 5.160 5.160 4.970
angles: 90.00 90.00 90.00
Last column: magnetic moment on the atom in μB.
Fractional positions:
Te: 0.500 0.000 0.000  -0.05
Te: 0.000 0.500 0.000  -0.05
Cu: 0.000 0.000 0.000  0.00
Sb: 0.000 0.000 0.500  -0.13
Tc: 0.500 0.500 0.500  3.32

=====

A plane-wave DFT calculation with GGA-PBE was carried out for a geometry-optimized NbTe2HPd structure.

Calculated values
**E**: -4.7755 eV/atom
**Calculated density**: 8.772 g/cm³

abc: 4.932 3.546 4.932
angles: 90.00 90.00 90.00
Fractional positions:
Nb: 0.500 0.500 0.500
Te: 0.500 0.000 0.000
Te: 0.000 0.000 0.500
Pd: 0.000 0.500 0.000
H: 0.000 0.000 0.000

=====

A plane-wave DFT calculation with GGA-PBE was carried out for a geometry-optimized Pr2InCu structure.

Calculated values
**Formation enthalpy at 0 K**: -0.293 eV/atom
**Calculated density**: 7.134 g/cm³

abc: 3.671 3.671 7.950
angles: 90.00 90.00 90.00
Fractional positions:
In: 0.500 0.500 0.500
Pr: 0.000 0.000 0.775
Pr: 0.000 0.000 0.225
Cu: 0.500 0.500 0.000

=====

A plane-wave DFT calculation with GGA-PBE was carried out for a geometry-optimized Re2TcSe structure.

Calculated values
**Energy relative to the elements, uncorrected**: 0.237 eV per atom
**Calculated density**: 15.074 g/cm³

abc: 8.630 8.630 8.630
angles: 19.16 19.16 19.16
Fractional positions:
Tc: 0.751 0.751 0.751
Re: 0.249 0.249 0.249
Re: 0.000 0.000 0.000
Se: 0.499 0.499 0.499

=====

A plane-wave DFT calculation with GGA-PBE was carried out for a geometry-optimized NdDy2Pb structure.

Calculated values
**Formation enthalpy at 0 K**: -0.304 eV/atom
**Calculated density**: 8.817 g/cm³
**Energy above the most stable polymorph in this dataset**: 0.000 eV per formula unit

abc: 4.748 4.706 11.641
angles: 101.59 90.00 90.00
Fractional positions:
Dy: 0.250 0.938 0.876
Dy: 0.750 0.062 0.124
Dy: 0.750 0.443 0.886
Dy: 0.250 0.557 0.114
Pb: 0.750 0.838 0.671
Pb: 0.250 0.162 0.329
Nd: 0.250 0.310 0.616
Nd: 0.750 0.690 0.384

=====

A plane-wave DFT calculation with GGA-PBE was carried out for a geometry-optimized NdGdSbBr structure.

Calculated values
**Energy relative to the elements, uncorrected**: -1.090 eV per atom
**Calculated density**: 7.605 g/cm³

abc: 5.376 5.376 5.376
angles: 60.00 60.00 60.00
Last column: magnetic moment on the atom in μB.
Fractional positions:
Sb: 0.750 0.750 0.750  -0.03
Gd: 0.000 0.000 0.000  7.27
Br: 0.250 0.250 0.250  -0.01
Nd: 0.500 0.500 0.500  0.28

=====

A plane-wave DFT calculation with GGA-PBE was carried out for a geometry-optimized NaLiHg3 structure.

Calculated values
**Formation enthalpy at 0 K**: -0.121 eV/atom
**Calculated density**: 7.885 g/cm³
**Energy above the most stable polymorph in this dataset**: 0.587 eV per formula unit

abc: 5.105 5.105 5.105
angles: 90.00 90.00 90.00
Fractional positions:
Hg: 0.000 0.500 0.000
Hg: 0.500 0.000 0.000
Hg: 0.000 0.000 0.500
Li: 0.000 0.000 0.000
Na: 0.500 0.500 0.500

=====

A plane-wave DFT calculation with GGA-PBE was carried out for a geometry-optimized HfAl3 structure.

Calculated values
**Formation enthalpy at 0 K**: -0.380 eV/atom
**Calculated density**: 6.305 g/cm³

abc: 4.088 4.088 4.088
angles: 90.00 90.00 90.00
Fractional positions:
Al: 0.500 0.000 0.500
Al: 0.500 0.500 0.000
Al: 0.000 0.500 0.500
Hf: 0.000 0.000 0.000

=====

A plane-wave DFT calculation with GGA-PBE was carried out for a geometry-optimized LiV2In structure.

Calculated values
**Formation enthalpy at 0 K**: 0.674 eV/atom
**Calculated density**: 5.727 g/cm³

abc: 7.299 7.299 5.706
angles: 50.24 50.24 90.00
Fractional positions:
Li: 0.500 0.500 0.000
Li: 0.250 0.750 0.500
V: 0.614 0.125 0.250
V: 0.375 0.386 0.750
V: 0.875 0.864 0.750
V: 0.136 0.625 0.250
In: 0.750 0.250 0.500
In: 0.000 0.000 0.000

=====

A plane-wave DFT calculation with GGA-PBE was carried out for a geometry-optimized Pm2TlPb structure.

Calculated values
**Formation enthalpy at 0 K**: -0.470 eV/atom
**Calculated density**: 9.357 g/cm³
**Energy above the most stable polymorph in this dataset**: 0.000 eV per formula unit

abc: 4.457 6.382 9.430
angles: 111.84 90.00 90.00
Fractional positions:
Tl: 0.250 0.310 0.201
Tl: 0.750 0.690 0.799
Pm: 0.750 0.231 0.930
Pm: 0.750 0.232 0.433
Pm: 0.250 0.768 0.567
Pm: 0.250 0.769 0.070
Pb: 0.250 0.321 0.704
Pb: 0.750 0.679 0.296

=====

A plane-wave DFT calculation with GGA-PBE was carried out for a geometry-optimized Ho2Tl3RuO6 structure.

Calculated values
**Energy relative to the elements, uncorrected**: -1.749 eV per atom
**Calculated density**: 9.398 g/cm³

abc: 5.758 5.758 7.533
angles: 100.89 100.89 119.53
Last column: magnetic moment on the atom in μB.
Fractional positions:
Ho: 0.667 0.333 0.000  0.03
Ho: 0.333 0.667 0.000  0.03
O: 0.076 0.383 0.153  0.07
O: 0.617 0.924 0.847  0.07
O: 0.383 0.076 0.153  0.07
O: 0.924 0.617 0.847  0.07
O: 0.771 0.771 0.156  0.06
O: 0.229 0.229 0.844  0.06
Tl: 0.163 0.837 0.500  0.00
Tl: 0.837 0.163 0.500  0.00
Tl: 0.500 0.500 0.500  0.00
Ru: 0.000 0.000 0.000  1.42

=====

A plane-wave DFT calculation with GGA-PBE was carried out for a geometry-optimized CaTa2Mn structure.

Calculated values
**Formation enthalpy at 0 K**: 0.728 eV/atom
**Calculated density**: 9.605 g/cm³
**Energy above the most stable polymorph in this dataset**: 1.331 eV per formula unit

abc: 4.871 4.027 4.027
angles: 90.00 90.00 90.00
Last column: magnetic moment on the atom in μB.
Fractional positions:
Ta: 0.000 0.000 0.000  -0.22
Ta: 0.000 0.500 0.500  -0.22
Ca: 0.500 0.500 0.000  -0.03
Mn: 0.500 0.000 0.500  3.32

=====

no.,V (Å³ per atom)
1,33.60
2,29.25
3,37.81
4,24.27
5,14.98
6,13.75
7,31.05
8,17.28
9,38.55
10,13.11
11,21.10
12,25.24
13,41.30
14,33.73
15,26.46
16,17.25
17,26.78
18,15.13
19,31.85
20,27.47
21,26.61
22,17.08
23,16.21
24,31.13
25,16.79
26,19.75